MgHg2Mo after structural relaxation, computed with PBE.

Calculated total energy in eV per atom: -2.90
Formation energy in eV per atom: 0.360

Structure (extended XYZ):
```
4
Lattice="10.186 0.014 0.008 9.726 3.026 0.008 9.726 1.485 2.637" Properties=species:S:1:pos:R:3 pbc="T T T"
Mg 14.649 2.236 1.311
Hg 0.220 0.034 0.020
Hg 7.283 1.112 0.652
Mo 22.305 3.405 1.997
```